[1]
The following is a GGA-PBE calculation of Tb6PmPr2Tm3 after structural relaxation, from Alexandria.

Formation energy in meV/atom: 21
Crystal system: monoclinic

abc: 6.197 6.197 11.843
angles: 95.00 95.00 119.99
Fractional positions:
Tb1 0.086 0.419 0.756
Tb2 0.247 0.247 0.244
Tb3 0.419 0.086 0.756
Tb4 0.581 0.914 0.244
Tb5 0.753 0.753 0.756
Tb6 0.914 0.581 0.244
Pm1 0.000 0.000 0.500
Pr1 0.333 0.667 0.500
Pr2 0.667 0.333 0.500
Tm1 0.167 0.833 0.000
Tm2 0.500 0.500 0.000
Tm3 0.833 0.167 0.000

---

[2]
The following is a GGA-PBE calculation of KTlSi2 after structural relaxation, from Alexandria.

Crystal system: monoclinic
ΔE_f (raw) in kJ/mol of atoms: 16.5
Polymorph energy (0 for the lowest one) in meV per atom: 60

abc: 4.300 3.796 7.298
angles: 90.00 107.12 90.00
Fractional positions:
K1 0.000 0.000 0.000
Tl1 0.684 0.500 0.370
Si1 0.267 0.000 0.537
Si2 0.369 0.500 0.735

---

[3]
The following is a GGA-PBE calculation of Ir2Rh after structural relaxation, from Alexandria.

Formation energy in meV/atom: -8
Crystal system: tetragonal
Polymorph energy (0 for the lowest one) in meV per atom: 8

abc: 2.733 2.733 11.578
angles: 90.00 90.00 90.00
Fractional positions:
Ir1 0.000 0.000 0.000
Ir2 0.000 0.000 0.334
Ir3 0.000 0.000 0.666
Ir4 0.500 0.500 0.500
Rh1 0.500 0.500 0.166
Rh2 0.500 0.500 0.834

---

> What is the formula in the second record?

KTlSi2